# 1
LuCoTcSn | PBE-GGA | relaxed

Cell lengths 4.5832, 4.5832, 4.5832 Å; angles 60.00, 60.00, 60.00 degrees
Closest atoms and distances in Å follow each position.
Fractional positions:
Co 0.0000 0.0000 0.0000  4 Lu 2.81, 4 Sn 2.81
Tc 0.5000 0.5000 0.5000  4 Sn 2.81, 4 Lu 2.81
Lu 0.7500 0.7500 0.7500  4 Tc 2.81, 4 Co 2.81
Sn 0.2500 0.2500 0.2500  4 Tc 2.81, 4 Co 2.81

Its spin magnetization is 0.132 μB/cell. The uncorrected energy is -6.623 eV/atom. The energy of formation is -125 meV per atom.



# 2
LuZnCoSn | PBE-GGA | relaxed

Cell lengths 4.6179, 4.6179, 4.6179 Å; angles 60.00, 60.00, 60.00 degrees
Closest atoms and distances in Å follow each position.
Fractional positions:
Sn 0.5000 0.5000 0.5000  4 Co 2.83, 4 Zn 2.83
Zn 0.2500 0.2500 0.2500  4 Sn 2.83, 4 Lu 2.83
Co 0.7500 0.7500 0.7500  4 Lu 2.83, 4 Sn 2.83
Lu 0.0000 0.0000 0.0000  4 Co 2.83, 4 Zn 2.83

Its spin magnetization is 0.220 μB/cell. The uncorrected energy is -4.429 eV/atom. The energy of formation is -203 meV per atom.



# 3
SrLu3Co | PBE-GGA | relaxed

Cell lengths 5.2720, 5.2720, 5.2720 Å; angles 90.00, 90.00, 90.00 degrees
Closest atoms and distances in Å follow each position.
Fractional positions:
Co 0.0000 0.0000 0.0000  6 Lu 2.64
Lu 0.5000 0.0000 0.0000  2 Co 2.64
Lu 0.0000 0.0000 0.5000  2 Co 2.64
Lu 0.0000 0.5000 0.0000  2 Co 2.64
Sr 0.5000 0.5000 0.5000  12 Lu 3.73

Its spin magnetization is 0.000 μB/cell. The uncorrected energy is -4.530 eV/atom. The energy of formation is -60 meV per atom.